# 1
Computed, not measured: an optimized crystal structure of Ce2PdPt5 at the PBE level of DFT.

Output
M_tot in μB/f.u.: 0.6
Formation enthalpy at 0 K in eV per atom: -0.967
N(E_F) in states/eV/f.u.: 6.839
Crystal system: orthorhombic

Cell: 4.171 5.892 11.792 Å, 90.00 90.00 90.00°
Fractional coordinates of all 16 atoms:
Ce: 0.500 0.249 0.625
Ce: 0.500 0.751 0.375
Ce: 0.500 0.251 0.125
Ce: 0.500 0.749 0.875
Pd: 0.000 0.000 0.500
Pd: 0.000 0.500 0.000
Pt: 0.000 0.000 0.000
Pt: 0.000 0.500 0.500
Pt: 0.000 0.498 0.750
Pt: 0.000 0.502 0.250
Pt: 0.000 0.002 0.250
Pt: 0.000 0.998 0.750
Pt: 0.500 0.249 0.875
Pt: 0.500 0.751 0.125
Pt: 0.500 0.251 0.375
Pt: 0.500 0.749 0.625

# 2
Computed, not measured: an optimized crystal structure of Tm3GaOs at the PBE level of DFT.

Output
M_tot in μB/f.u.: 0.0
Formation enthalpy at 0 K in eV per atom: -0.434
N(E_F) in states/eV/f.u.: 2.488
Crystal system: orthorhombic

Cell: 5.627 5.627 8.479 Å, 102.10 102.09 111.63°
Fractional coordinates of all 10 atoms:
Tm: 0.304 0.804 0.108
Tm: 0.696 0.196 0.892
Tm: 0.077 0.209 0.286
Tm: 0.923 0.791 0.714
Tm: 0.709 0.577 0.286
Tm: 0.291 0.423 0.714
Ga: 0.696 0.196 0.500
Ga: 0.304 0.804 0.500
Os: 0.250 0.250 0.000
Os: 0.750 0.750 0.000

# 3
Computed, not measured: an optimized crystal structure of LaTb2Hg3 at the PBE level of DFT.

Output
M_tot in μB/f.u.: 0.8
Formation enthalpy at 0 K in eV per atom: -0.485
N(E_F) in states/eV/f.u.: 6.454
Crystal system: tetragonal

Cell: 3.774 3.774 11.507 Å, 90.00 90.00 90.00°
Fractional coordinates of all 6 atoms:
La: 0.500 0.500 0.500
Tb: 0.500 0.500 0.839
Tb: 0.500 0.500 0.161
Hg: 0.000 0.000 0.000
Hg: 0.000 0.000 0.685
Hg: 0.000 0.000 0.315

Q: Look up the N(E_F) of the first one.
A: 6.839 states/eV/f.u.

Q: Which formula does entry 3 have?
A: LaTb2Hg3

Q: What is the formula in the second record?
A: Tm3GaOs